# 1
3
Lattice="6.614 0.004 0.000 5.494 3.681 0.000 -6.054 -1.843 1.922" Properties=species:S:1:pos:R:3 comment="CdCuRe, relaxed, DFT PBE-GGA" formation_enthalpy_0k_ev_per_atom=0.428 volume_a3_per_atom=15.582 magmom_total_mub_per_fu=0.00 sg="No. 107" pbc="T T T"
Cu 3.951 1.203 0.000
Cd 12.050 3.668 0.000
Re 8.214 2.500 0.000


# 2
8
Lattice="5.380 -0.031 0.000 -0.842 5.314 0.000 0.000 0.000 6.412" Properties=species:S:1:pos:R:3 comment="PmInGa2, relaxed, DFT PBE-GGA" formation_enthalpy_0k_ev_per_atom=-0.390 volume_a3_per_atom=22.894 magmom_total_mub_per_fu=0.00 sg="No. 63" pbc="T T T"
In 0.804 3.901 1.603
In 3.735 1.383 4.809
Pm 3.387 1.682 1.603
Pm 1.152 3.601 4.809
Ga 0.852 0.992 0.000
Ga 3.686 4.291 3.206
Ga 3.686 4.291 0.000
Ga 0.852 0.992 3.206


# 3
5
Lattice="4.750 0.000 0.000 0.000 5.687 0.000 0.000 0.000 4.750" Properties=species:S:1:pos:R:3 comment="Mg2CrBiS, relaxed, DFT PBE-GGA" raw_formation_energy_ev_per_atom=0.225 volume_a3_per_atom=25.667 magmom_total_mub_per_fu=4.64 sg="No. 123" pbc="T T T"
Cr 2.375 2.844 2.375
Mg 2.375 0.000 0.000
Mg 0.000 0.000 2.375
Bi 0.000 2.844 0.000
S 0.000 0.000 0.000


# 4
4
Lattice="-1.295 -2.078 0.781 2.198 -0.472 -1.246 4.326 0.151 7.575" Properties=species:S:1:pos:R:3 comment="Li2BeRh, relaxed, DFT PBE-GGA" formation_enthalpy_0k_ev_per_atom=0.101 volume_a3_per_atom=13.010 magmom_total_mub_per_fu=0.01 sg="No. 65" pbc="T T T"
Li 0.015 0.001 0.026
Li 2.148 0.075 3.761
Be 3.696 -1.162 5.448
Rh 1.533 -1.238 1.661


# 5
5
Lattice="5.237 0.000 0.000 0.000 4.443 0.000 0.000 0.000 5.237" Properties=species:S:1:pos:R:3 comment="LiY2CrRh, relaxed, DFT PBE-GGA" formation_enthalpy_0k_ev_per_atom=0.306 volume_a3_per_atom=24.365 magmom_total_mub_per_fu=0.00 sg="No. 123" pbc="T T T"
Cr 0.000 0.000 0.000
Rh 0.000 2.221 0.000
Y 0.000 0.000 2.618
Y 2.618 0.000 0.000
Li 2.618 2.221 2.618


# 6
5
Lattice="5.446 0.000 0.000 0.000 5.446 0.000 0.000 0.000 5.446" Properties=species:S:1:pos:R:3 comment="Pr3SmFe, relaxed, DFT PBE-GGA" formation_enthalpy_0k_ev_per_atom=0.226 volume_a3_per_atom=32.311 magmom_total_mub_per_fu=0.01 sg="No. 221" pbc="T T T"
Fe 0.000 0.000 0.000
Pr 0.000 0.000 2.723
Pr 2.723 0.000 0.000
Pr 0.000 2.723 0.000
Sm 2.723 2.723 2.723


# 7
12
Lattice="5.126 0.067 -0.003 0.119 5.123 -0.006 0.005 0.008 7.009" Properties=species:S:1:pos:R:3 comment="KZr2UO8, relaxed, DFT PBE-GGA" raw_formation_energy_ev_per_atom=-2.771 volume_a3_per_atom=15.333 magmom_total_mub_per_fu=1.00 sg="No. 65" pbc="T T T"
O 4.112 1.104 5.596
O 1.141 4.098 5.595
O 1.138 4.094 1.404
O 1.855 1.839 3.501
O 3.395 3.359 3.499
O 4.109 1.100 1.405
O 1.635 1.617 7.006
O 3.615 3.581 -0.006
U 0.000 0.000 0.000
K 0.003 0.004 3.504
Zr 2.624 2.597 1.640
Zr 2.626 2.601 5.359


# 8
18
Lattice="-0.996 0.499 -8.825 8.738 -1.280 -1.059 -5.019 -7.195 4.643" Properties=species:S:1:pos:R:3 comment="AcPrDy2Ho5, relaxed, DFT PBE-GGA" formation_enthalpy_0k_ev_per_atom=0.267 volume_a3_per_atom=33.747 magmom_total_mub_per_fu=0.00 sg="No. 140" pbc="T T T"
Ac -0.574 -3.793 -0.150
Ac 3.297 -4.184 -5.091
Ho 1.167 -2.024 -2.928
Ho 0.000 0.000 0.000
Ho 5.995 -2.590 -7.107
Ho 1.556 -5.952 -2.313
Ho -3.271 -5.386 1.866
Ho 3.871 -0.391 -4.942
Ho -2.911 -5.263 -2.651
Ho 1.528 -1.901 -7.444
Ho 1.196 -6.076 2.203
Ho 5.634 -2.714 -2.590
Dy 4.493 -0.346 -8.460
Dy 0.393 0.159 -5.550
Dy 3.249 -0.435 -1.423
Dy 7.349 -0.941 -4.333
Pr -1.072 -3.543 -4.562
Pr 3.795 -4.433 -0.679


# 9
7
Lattice="4.903 0.000 0.000 2.452 4.247 0.000 2.452 1.416 9.577" Properties=species:S:1:pos:R:3 comment="Li2La2PrBi2, relaxed, DFT PBE-GGA" formation_enthalpy_0k_ev_per_atom=-0.498 volume_a3_per_atom=28.490 magmom_total_mub_per_fu=0.00 sg="No. 166" pbc="T T T"
Pr 0.000 0.000 0.000
La 2.452 1.416 5.758
La 7.355 4.247 3.819
Bi 7.355 4.247 7.634
Bi 2.452 1.416 1.944
Li 4.903 2.831 7.439
Li 4.903 2.831 2.138


# 10
4
Lattice="3.739 0.000 0.000 0.000 3.739 0.000 0.000 0.000 8.137" Properties=species:S:1:pos:R:3 comment="La2TlCr, relaxed, DFT PBE-GGA" formation_enthalpy_0k_ev_per_atom=0.190 volume_a3_per_atom=28.441 magmom_total_mub_per_fu=2.93 sg="No. 99" pbc="T T T"
Cr 1.870 1.870 5.889
Tl 0.000 0.000 4.419
La 0.000 0.000 7.797
La 1.870 1.870 2.237


# 11
12
Lattice="-5.825 2.116 0.837 2.438 -2.705 5.084 3.595 4.918 -1.412" Properties=species:S:1:pos:R:3 comment="PmYSb2O8, relaxed, DFT PBE-GGA" raw_formation_energy_ev_per_atom=-2.223 volume_a3_per_atom=15.628 magmom_total_mub_per_fu=0.00 sg="No. 119" pbc="T T T"
Sb -1.962 3.370 1.192
Sb -1.694 -0.295 2.960
O -2.754 0.923 3.969
O -0.897 2.187 0.156
O 0.085 0.235 2.537
O -3.727 2.848 1.659
O 1.401 4.317 -0.262
O -1.504 3.664 3.012
O 1.684 3.183 2.774
O -1.719 4.779 -0.056
Y 2.170 0.959 3.316
Pm 0.000 0.000 0.000


# 12
5
Lattice="-2.755 -1.494 2.687 -1.161 -2.835 -2.767 2.847 -2.602 1.472" Properties=species:S:1:pos:R:3 comment="Ga3ReN, relaxed, DFT PBE-GGA" raw_formation_energy_ev_per_atom=0.758 volume_a3_per_atom=14.069 magmom_total_mub_per_fu=0.62 sg="No. 221" pbc="T T T"
Ga 1.423 -1.301 0.736
Ga -0.581 -1.418 -1.383
Ga -1.377 -0.747 1.344
N 0.000 0.000 0.000
Re -0.535 -3.466 0.696


# 13
20
Lattice="4.669 0.000 0.000 0.000 11.194 0.000 0.000 0.000 11.194" Properties=species:S:1:pos:R:3 comment="La2Pm2ErIn5, relaxed, DFT PBE-GGA" formation_enthalpy_0k_ev_per_atom=-0.354 volume_a3_per_atom=29.255 magmom_total_mub_per_fu=0.00 sg="No. 127" pbc="T T T"
In 2.335 10.545 2.122
In 2.335 6.247 7.719
In 2.335 2.122 0.650
In 2.335 9.072 10.545
In 2.335 7.719 4.947
In 2.335 3.475 6.247
In 2.335 0.000 5.597
In 2.335 0.650 9.072
In 2.335 5.597 0.000
In 2.335 4.947 3.475
Pm 0.000 4.148 1.450
Pm 0.000 9.745 4.148
Pm 0.000 1.450 7.047
Pm 0.000 7.047 9.745
La 0.000 9.215 7.577
La 0.000 3.617 9.215
La 0.000 1.980 3.617
La 0.000 7.577 1.980
Er 0.000 0.000 0.000
Er 0.000 5.597 5.597


# 14
9
Lattice="5.075 -8.789 0.000 5.075 8.789 0.000 0.000 0.000 3.945" Properties=species:S:1:pos:R:3 comment="K2Sb, relaxed, DFT PBE-GGA" raw_formation_energy_ev_per_atom=-0.327 volume_a3_per_atom=39.098 magmom_total_mub_per_fu=0.00 sg="No. 189" pbc="T T T"
K 3.832 0.000 1.972
K 7.224 0.000 0.000
K 3.159 5.471 1.972
K 1.462 -2.533 0.000
K 3.159 -5.471 1.972
K 1.462 2.533 0.000
Sb 5.075 2.930 0.000
Sb 0.000 0.000 1.972
Sb 5.075 -2.930 0.000


# 15
6
Lattice="1.677 -9.107 0.000 1.677 9.107 0.000 0.000 0.000 5.070" Properties=species:S:1:pos:R:3 comment="NiSb5, relaxed, DFT PBE-GGA" raw_formation_energy_ev_per_atom=0.180 volume_a3_per_atom=25.810 magmom_total_mub_per_fu=0.00 sg="No. 65" pbc="T T T"
Sb 1.677 7.040 0.000
Sb 1.677 3.267 2.535
Sb 0.000 0.000 2.535
Sb 1.677 -3.267 2.535
Sb 1.677 -7.040 0.000
Ni 1.677 0.000 0.000


# 16
5
Lattice="-4.606 0.495 -3.214 3.006 -1.476 -4.536 -2.072 -6.050 -2.909" Properties=species:S:1:pos:R:3 comment="SrLa2As2, relaxed, DFT PBE-GGA" formation_enthalpy_0k_ev_per_atom=-0.899 volume_a3_per_atom=36.778 magmom_total_mub_per_fu=0.00 sg="No. 139" pbc="T T T"
La -2.420 -4.569 -7.127
La -1.251 -2.461 -3.533
Sr 0.000 0.000 0.000
As -3.739 -3.022 -4.999
As 0.068 -4.008 -5.660


# 17
12
Lattice="3.812 -0.270 -0.465 -1.373 7.030 0.609 -1.373 -2.956 6.408" Properties=species:S:1:pos:R:3 comment="V3IrPt2, relaxed, DFT PBE-GGA" formation_enthalpy_0k_ev_per_atom=-0.562 volume_a3_per_atom=14.172 magmom_total_mub_per_fu=0.00 sg="No. 74" pbc="T T T"
Pt -0.420 -0.548 4.854
Pt 1.486 4.352 1.698
Pt -0.420 6.140 0.971
Pt 1.486 -2.336 5.581
V 1.220 -1.613 2.971
V -0.160 2.077 5.458
V 1.227 1.727 1.094
V -0.679 0.229 2.275
V 1.746 3.575 4.277
V -0.686 3.515 0.305
Ir 1.486 0.989 3.651
Ir -0.420 2.816 2.901


# 18
4
Lattice="7.586 0.014 0.004 6.469 3.962 0.004 2.582 0.730 5.654" Properties=species:S:1:pos:R:3 comment="Ba2YTl, relaxed, DFT PBE-GGA" formation_enthalpy_0k_ev_per_atom=-0.102 volume_a3_per_atom=42.340 magmom_total_mub_per_fu=0.00 sg="No. 8" pbc="T T T"
Ba 12.924 3.656 4.030
Ba 13.945 3.945 0.060
Tl 8.551 2.419 2.712
Y 3.591 1.016 1.699


# 19
10
Lattice="6.013 0.000 0.000 0.000 6.013 0.000 0.000 0.000 3.485" Properties=species:S:1:pos:R:3 comment="Be2Nb2Co, relaxed, DFT PBE-GGA" formation_enthalpy_0k_ev_per_atom=-0.189 volume_a3_per_atom=12.602 magmom_total_mub_per_fu=0.00 sg="No. 127" pbc="T T T"
Co 3.007 3.007 0.000
Co 0.000 0.000 0.000
Be 3.765 0.758 0.000
Be 2.248 5.255 0.000
Be 5.255 3.765 0.000
Be 0.758 2.248 0.000
Nb 1.050 4.057 1.743
Nb 4.057 4.963 1.743
Nb 1.957 1.050 1.743
Nb 4.963 1.957 1.743


# 20
7
Lattice="4.928 0.000 0.000 2.464 6.413 -2.376 0.000 -6.710 9.359" Properties=species:S:1:pos:R:3 comment="BaSn4As2, relaxed, DFT PBE-GGA" formation_enthalpy_0k_ev_per_atom=-0.226 volume_a3_per_atom=31.035 magmom_total_mub_per_fu=0.00 sg="No. 12" pbc="T T T"
Ba 0.000 0.000 0.000
Sn 4.928 -1.204 3.803
Sn 4.929 3.909 -0.073
Sn 2.464 -4.206 7.057
Sn 2.464 0.907 3.180
As 4.928 -2.594 6.381
As 2.464 2.297 0.603